First-principles (GGA+U) data for Li4Ni2P4H3O16 after structural relaxation, as listed in Alexandria via LeMat-Bulk.

Cell: 4.9197 7.6091 8.2476 Å, 91.16 91.07 102.92°
Positions (direct):
Li 0.0000 0.0000 0.0000
Li 0.2172 0.3139 0.7416
Li 0.4928 0.4715 0.2259
Li 0.7391 0.8333 0.5258
Ni 0.1066 0.1510 0.3737
Ni 0.6176 0.6549 0.8739
P 0.2429 0.9121 0.7190
P 0.4890 0.9024 0.2068
P 0.7244 0.4063 0.5366
P 0.9821 0.3886 0.0250
H 0.0546 0.6321 0.4454
H 0.1519 0.6623 0.2159
H 0.5680 0.1375 0.8592
O 0.0067 0.8147 0.8257
O 0.0903 0.3434 0.1934
O 0.1303 0.9609 0.5548
O 0.2295 0.4918 0.9260
O 0.2612 0.0094 0.1885
O 0.3312 0.7037 0.2756
O 0.3648 0.0998 0.8134
O 0.4688 0.8038 0.6959
O 0.4960 0.3174 0.4141
O 0.6073 0.4516 0.6985
O 0.6132 0.8611 0.0455
O 0.7111 0.9766 0.3369
O 0.7743 0.5123 0.0554
O 0.8507 0.6017 0.4555
O 0.8559 0.2123 0.9285
O 0.9616 0.3066 0.5528

## Properties
The volume is 300.8 Å³ per cell. As for the total energy: -6.161 eV/atom. As for the space group: P1 (1). For the total magnetic moment, the calculation gives 2.83 μB per formula unit.